1.
Computed, not measured: a crystal of Mg2Re relaxed with PBEsol at the meta-GGA SCAN level of DFT.

Lattice parameters (Å, degrees): 2.652 4.422 8.461 90.00 90.00 90.00
Space group Immm (No. 71)
One atom of each set of equivalent atoms:
Mg (0.000, 0.000, 0.163) (multiplicity 4)
Re (0.000, 0.000, 0.500) (multiplicity 2)

Results
The energy above the lowest structure with this stoichiometry comes out at 0.04 eV/f.u. The density of states at the Fermi level comes out at 2.094 states/eV/f.u. The mass density is 7.859 Mg/m³. For the calculated formation energy, the calculation gives 0.3244 eV/atom.

***

2.
Computed, not measured: a crystal of MgReRh2 relaxed with PBEsol at the meta-GGA SCAN level of DFT.

Lattice parameters (Å, degrees): 2.793 2.793 7.382 90.00 90.00 90.00
Space group P4/mmm (No. 123)
One atom of each set of equivalent atoms:
Mg (0.000, 0.000, 0.000) (multiplicity 1)
Re (0.000, 0.000, 0.500) (multiplicity 1)
Rh (0.500, 0.500, 0.261) (multiplicity 2)

Results
The density of states at the Fermi level comes out at 2.079 states/eV/f.u. The mass density is 12.010 Mg/m³. For the calculated formation energy, the calculation gives -0.3276 eV/atom.

***

3.
Computed, not measured: a crystal of MgRe2Rh relaxed with PBEsol at the meta-GGA SCAN level of DFT.

Lattice parameters (Å, degrees): 6.147 6.147 6.147 90.00 90.00 90.00
Space group F-43m (No. 216)
One atom of each set of equivalent atoms:
Mg (0.000, 0.000, 0.000) (multiplicity 4)
Re (0.000, 0.000, 0.500) (multiplicity 4)
Re (0.250, 0.250, 0.750) (multiplicity 4)
Rh (0.250, 0.250, 0.250) (multiplicity 4)

Results
The density of states at the Fermi level comes out at 2.876 states/eV/f.u. The mass density is 14.285 Mg/m³. For the calculated formation energy, the calculation gives 0.0146 eV/atom.

***

4.
Computed, not measured: a crystal of MgRe2Rh relaxed with PBEsol at the meta-GGA SCAN level of DFT.

Lattice parameters (Å, degrees): 5.068 8.617 2.686 90.00 90.00 90.00
Space group Cmmm (No. 65)
One atom of each set of equivalent atoms:
Mg (0.000, 0.000, 0.000) (multiplicity 2)
Re (0.250, 0.250, 0.500) (multiplicity 4)
Rh (0.000, 0.500, 0.000) (multiplicity 2)

Results
The density of states at the Fermi level comes out at 2.217 states/eV/f.u. The mass density is 14.144 Mg/m³. For the calculated formation energy, the calculation gives 0.1233 eV/atom.

***

5.
Computed, not measured: a crystal of MgReRu relaxed with PBEsol at the meta-GGA SCAN level of DFT.

Lattice parameters (Å, degrees): 2.7767 2.7767 6.8193 90.00 90.00 120.00
Space group P3m1 (No. 156)
One atom of each set of equivalent atoms:
Mg (0.0000, 0.0000, 0.0000) (multiplicity 1)
Re (0.6667, 0.3333, 0.6413) (multiplicity 1)
Ru (0.3333, 0.6667, 0.3458) (multiplicity 1)

Results
The energy above the lowest structure with this stoichiometry comes out at 0.00 eV/f.u. The density of states at the Fermi level comes out at 2.022 states/eV/f.u. The mass density is 11.363 Mg/m³. For the calculated formation energy, the calculation gives 0.1164 eV/atom.

***

6.
Computed, not measured: a crystal of MgReRu relaxed with PBEsol at the meta-GGA SCAN level of DFT.

Lattice parameters (Å, degrees): 5.907 5.907 5.907 90.00 90.00 90.00
Space group F-43m (No. 216)
One atom of each set of equivalent atoms:
Mg (0.000, 0.000, 0.000) (multiplicity 4)
Re (0.250, 0.250, 0.750) (multiplicity 4)
Ru (0.000, 0.000, 0.500) (multiplicity 4)

Results
The energy above the lowest structure with this stoichiometry comes out at 1.42 eV/f.u. The density of states at the Fermi level comes out at 3.409 states/eV/f.u. The mass density is 10.041 Mg/m³. For the calculated formation energy, the calculation gives 0.5907 eV/atom.

***

7.
Computed, not measured: a crystal of SrMg2ReRu relaxed with PBEsol at the meta-GGA SCAN level of DFT.

Lattice parameters (Å, degrees): 4.976 4.976 4.703 90.00 90.00 90.00
Space group P4/mmm (No. 123)
One atom of each set of equivalent atoms:
Sr (0.000, 0.000, 0.000) (multiplicity 1)
Mg (0.000, 0.500, 0.500) (multiplicity 2)
Re (0.500, 0.500, 0.000) (multiplicity 1)
Ru (0.500, 0.500, 0.500) (multiplicity 1)

Results
The density of states at the Fermi level comes out at 3.900 states/eV/f.u. The mass density is 6.039 Mg/m³. For the calculated formation energy, the calculation gives 0.4232 eV/atom.

***

8.
Computed, not measured: a crystal of Mg3ReS relaxed with PBEsol at the meta-GGA SCAN level of DFT.

Lattice parameters (Å, degrees): 5.025 5.025 5.025 90.00 90.00 90.00
Space group Pm-3m (No. 221)
One atom of each set of equivalent atoms:
Mg (0.000, 0.000, 0.500) (multiplicity 3)
Re (0.000, 0.000, 0.000) (multiplicity 1)
S (0.500, 0.500, 0.500) (multiplicity 1)

Results
The uncorrected formation energy is 1114 meV/atom. The density of states at the Fermi level comes out at 3.991 states/eV/f.u. The mass density is 3.811 Mg/m³.

***

9.
Computed, not measured: a crystal of MgRe2Sb relaxed with PBEsol at the meta-GGA SCAN level of DFT.

Lattice parameters (Å, degrees): 2.872 4.549 5.301 90.00 93.93 90.00
Space group P2/m (No. 10)
One atom of each set of equivalent atoms:
Mg (0.000, 0.000, 0.000) (multiplicity 1)
Re (0.350, 0.500, 0.780) (multiplicity 2)
Sb (0.500, 0.000, 0.500) (multiplicity 1)

Results
The uncorrected formation energy is 546 meV/atom. The energy above the lowest structure with this stoichiometry comes out at 0.31 eV/f.u. The density of states at the Fermi level comes out at 2.941 states/eV/f.u. The mass density is 12.461 Mg/m³.

***

10.
Computed, not measured: a crystal of MgRe2Sb relaxed with PBEsol at the meta-GGA SCAN level of DFT.

Lattice parameters (Å, degrees): 3.226 3.226 6.333 90.00 90.00 90.00
Space group P4/mmm (No. 123)
One atom of each set of equivalent atoms:
Mg (0.000, 0.000, 0.000) (multiplicity 1)
Re (0.500, 0.500, 0.265) (multiplicity 2)
Sb (0.000, 0.000, 0.500) (multiplicity 1)

Results
The uncorrected formation energy is 685 meV/atom. The energy above the lowest structure with this stoichiometry comes out at 0.86 eV/f.u. The density of states at the Fermi level comes out at 3.815 states/eV/f.u. The mass density is 13.065 Mg/m³.

***

11.
Computed, not measured: a crystal of MgRe2Sb relaxed with PBEsol at the meta-GGA SCAN level of DFT.

Lattice parameters (Å, degrees): 2.955 4.431 5.341 90.00 104.75 90.00
Space group Pm (No. 6)
One atom of each set of equivalent atoms:
Mg (0.000, 0.000, 0.000) (multiplicity 1)
Re (0.316, 0.000, 0.498) (multiplicity 1)
Re (0.692, 0.500, 0.325) (multiplicity 1)
Sb (0.409, 0.500, 0.790) (multiplicity 1)

Results
The uncorrected formation energy is 470 meV/atom. The energy above the lowest structure with this stoichiometry comes out at 0.00 eV/f.u. The density of states at the Fermi level comes out at 3.038 states/eV/f.u. The mass density is 12.728 Mg/m³.

***

12.
Computed, not measured: a crystal of MgRe2Sb relaxed with PBEsol at the meta-GGA SCAN level of DFT.

Lattice parameters (Å, degrees): 2.921 4.164 5.611 90.00 90.00 90.00
Space group Pmmm (No. 47)
One atom of each set of equivalent atoms:
Mg (0.000, 0.000, 0.000) (multiplicity 1)
Re (0.500, 0.500, 0.215) (multiplicity 2)
Sb (0.000, 0.000, 0.500) (multiplicity 1)

Results
The uncorrected formation energy is 679 meV/atom. The energy above the lowest structure with this stoichiometry comes out at 0.84 eV/f.u. The density of states at the Fermi level comes out at 3.028 states/eV/f.u. The mass density is 12.617 Mg/m³.

***

Which value of mass density does entry 3 give?
14.285 Mg/m³